1.
The following is a DFT calculation (GGA-PBE) of a relaxed CaMnFe3 crystal.

Structure (POSCAR):
```
CaMnFe3
1.0
4.377 0.000 0.000
0.000 4.377 0.000
0.000 0.000 4.377
Ca Mn Fe
1 1 3
Cartesian
0.000 0.000 0.000
2.189 2.189 2.189
0.000 2.189 2.189
2.189 0.000 2.189
2.189 2.189 0.000
```

Summary:
The value obtained for the calculated density is 5.2 g cm⁻³. Its symmetry is Pm-3m. The calculation puts the total energy at -6.547 eV per atom.

---

2.
The following is a DFT calculation (GGA-PBE) of a relaxed TiCdN2 crystal.

Structure (POSCAR):
```
TiCdN2
1.0
1.711 0.988 6.171
-1.711 0.988 6.171
0.000 -1.976 6.171
Ti Cd N
1 1 2
Cartesian
0.000 0.000 0.000
0.000 0.000 9.256
0.000 0.000 1.850
0.000 0.000 16.662
```

Summary:
The value obtained for the calculated density is 5.0 g cm⁻³. Its symmetry is R-3m. The uncorrected formation energy is 70.02 kJ per mole of atoms.

---

3.
The following is a DFT calculation (GGA-PBE) of a relaxed ErTaCo4 crystal.

Structure (POSCAR):
```
ErTaCo4
1.0
0.000 3.451 3.451
3.451 0.000 3.451
3.451 3.451 0.000
Er Ta Co
1 1 4
Cartesian
0.000 0.000 0.000
5.176 5.176 5.176
2.589 2.589 2.589
4.313 4.313 2.589
4.313 2.589 4.313
2.589 4.313 4.313
```

Summary:
The value obtained for the calculated density is 11.8 g cm⁻³. Its symmetry is F-43m. The calculation puts the total energy at -7.606 eV per atom.

---

4.
The following is a DFT calculation (GGA-PBE) of a relaxed WAu2 crystal.

Structure (POSCAR):
```
WAu2
1.0
0.000 3.764 3.764
3.764 0.000 3.764
3.764 3.764 0.000
W Au
2 4
Cartesian
0.941 0.941 0.941
6.588 6.588 6.588
3.764 1.882 1.882
1.882 3.764 1.882
1.882 1.882 3.764
3.764 3.764 3.764
```

Summary:
The value obtained for the calculated density is 18.0 g cm⁻³. Its symmetry is Fd-3m. The calculation puts the total energy at -5.578 eV per atom.

---

Which value of calculated density does entry 3 give?
11.8 g cm⁻³

---

Copy entry 4 word for word.
The following is a DFT calculation (GGA-PBE) of a relaxed WAu2 crystal.

Structure (POSCAR):
```
WAu2
1.0
0.000 3.764 3.764
3.764 0.000 3.764
3.764 3.764 0.000
W Au
2 4
Cartesian
0.941 0.941 0.941
6.588 6.588 6.588
3.764 1.882 1.882
1.882 3.764 1.882
1.882 1.882 3.764
3.764 3.764 3.764
```

Summary:
The value obtained for the calculated density is 18.0 g cm⁻³. Its symmetry is Fd-3m. The calculation puts the total energy at -5.578 eV per atom.

---

What is the calculated density in the second record?
5.0 g cm⁻³